Record 1
# AcPr2ErSe5 (GGA-PBE, optimized geometry)
data_AcPr2ErSe5
_symmetry_space_group_name_H-M 'P 1'
_symmetry_Int_Tables_number 1
_symmetry_space_group_name_Hall 'P 1'
_cell_length_a 5.139
_cell_length_b 5.139
_cell_length_c 11.365
_cell_angle_alpha 90.00
_cell_angle_beta 90.00
_cell_angle_gamma 90.00
loop_
_atom_site_label
_atom_site_fract_x
_atom_site_fract_y
_atom_site_fract_z
Se1 0.000 0.500 0.500
Se2 0.500 0.500 0.000
Se3 0.000 0.000 0.258
Se4 0.500 0.000 0.500
Se5 0.000 0.000 0.742
Er1 0.000 0.000 0.500
Ac1 0.000 0.000 0.000
Pr1 0.500 0.500 0.340
Pr2 0.500 0.500 0.660
# SG	P4/mmm (123)
# raw total energy	-48.3	eV/cell
# V	300	Å³/f.u.

=====

Record 2
# AcPrSm5Er2 (GGA-PBE, optimized geometry)
data_AcPrSm5Er2
_symmetry_space_group_name_H-M 'P 1'
_symmetry_Int_Tables_number 1
_symmetry_space_group_name_Hall 'P 1'
_cell_length_a 5.605
_cell_length_b 12.347
_cell_length_c 9.515
_cell_angle_alpha 90.00
_cell_angle_beta 90.00
_cell_angle_gamma 103.12
loop_
_atom_site_label
_atom_site_fract_x
_atom_site_fract_y
_atom_site_fract_z
Er1 0.888 0.776 0.791
Er2 0.829 0.658 0.170
Er3 0.112 0.224 0.291
Er4 0.171 0.342 0.670
Sm1 0.993 0.986 0.032
Sm2 0.688 0.377 0.228
Sm3 0.603 0.206 0.532
Sm4 0.741 0.483 0.858
Sm5 0.525 0.050 0.252
Sm6 0.259 0.517 0.358
Sm7 0.397 0.794 0.032
Sm8 0.007 0.014 0.532
Sm9 0.475 0.950 0.752
Sm10 0.312 0.623 0.728
Ac1 0.398 0.795 0.426
Ac2 0.602 0.205 0.926
Pr1 0.236 0.472 0.035
Pr2 0.764 0.528 0.535
# SG	Cmc2_1 (36)
# raw total energy	-80.5	eV/cell
# V	321	Å³/f.u.
# formation energy	0.149	eV per atom